#w
Material: HgAuC3
Method: DFT, PBE-GGA
State: optimized geometry

POSCAR file:
```
HgAuC3
1.0
4.243 0.000 0.000
0.000 4.243 0.000
0.000 0.000 4.243
C Au Hg
3 1 1
Cartesian
0.000 2.121 0.000 C
0.000 0.000 2.121 C
2.121 0.000 0.000 C
0.000 0.000 0.000 Au
2.121 2.121 2.121 Hg
```

Values from the calculation:
N(E_F): 1.07 states/eV/atom
M_tot: 0.000 μB/atom



#x
Material: HgAuC3
Method: DFT, PBE-GGA
State: optimized geometry

POSCAR file:
```
HgAuC3
1.0
-4.148 -0.548 1.081
1.211 -1.982 3.644
0.034 3.800 2.056
C Au Hg
3 1 1
Cartesian
0.605 -0.991 1.822 C
0.017 1.900 1.028 C
-2.074 -0.274 0.540 C
-1.452 0.636 3.390 Au
0.000 0.000 0.000 Hg
```

Values from the calculation:
N(E_F): 0.96 states/eV/atom
M_tot: 0.000 μB/atom



Most favorable first, least favorable last: #w, #x



#w
Material: Ho3AuC
Method: DFT, PBE-GGA
State: optimized geometry

POSCAR file:
```
Ho3AuC
1.0
4.824 0.000 0.000
0.000 4.824 0.000
0.000 0.000 4.824
C Au Ho
1 1 3
Cartesian
0.000 0.000 0.000 C
2.412 2.412 2.412 Au
0.000 2.412 0.000 Ho
0.000 0.000 2.412 Ho
2.412 0.000 0.000 Ho
```

Values from the calculation:
N(E_F): 1.25 states/eV/atom
M_tot: 0.146 μB/atom



#x
Material: Ho3AuC
Method: DFT, PBE-GGA
State: optimized geometry

POSCAR file:
```
Ho3AuC
1.0
-0.702 -2.411 2.607
7.008 2.618 4.310
-7.843 9.702 6.861
Ho Au C
12 4 4
Cartesian
-1.593 1.690 4.904 Ho
-3.064 10.614 10.249 Ho
-0.929 0.396 1.372 Ho
0.243 4.589 5.567 Ho
-3.064 4.970 5.029 Ho
-1.781 5.319 8.210 Ho
-4.366 8.045 7.521 Ho
-0.609 9.513 12.405 Ho
1.526 -0.705 3.528 Ho
2.828 1.864 6.256 Ho
1.526 4.938 8.748 Ho
0.055 8.218 8.873 Ho
3.714 4.805 6.702 Au
-5.252 5.104 7.075 Au
-2.737 7.636 10.096 Au
1.199 2.272 3.682 Au
0.170 6.438 7.257 C
-1.707 3.471 6.520 C
4.978 0.844 5.892 C
-6.516 9.065 7.885 C
```

Values from the calculation:
N(E_F): 0.97 states/eV/atom
M_tot: 0.000 μB/atom



Most favorable first, least favorable last: #x, #w



#w
Material: AuCI
Method: DFT, PBE-GGA
State: optimized geometry

POSCAR file:
```
AuCI
1.0
-2.056 2.525 -2.203
-2.828 -5.030 -4.498
-6.756 -0.778 2.722
I C Au
2 2 2
Cartesian
-5.512 -1.034 0.581 I
-6.128 -2.249 -4.561 I
-8.513 -2.871 0.105 C
-3.127 -0.411 -4.085 C
-7.981 -0.997 -0.581 Au
-3.659 -2.286 -3.399 Au
```

Values from the calculation:
M_tot: 0.000 μB/atom



#x
Material: AuCI
Method: DFT, PBE-GGA
State: optimized geometry

POSCAR file:
```
AuCI
1.0
-4.504 3.389 1.451
-2.196 -1.879 -2.429
-0.789 -4.545 4.229
I C Au
2 2 2
Cartesian
-0.397 0.045 0.325 I
-1.890 -3.167 1.225 I
-2.105 1.035 1.103 C
-3.598 -2.177 2.003 C
-2.762 -0.279 2.713 Au
-4.254 -3.490 3.613 Au
```

Values from the calculation:
N(E_F): 0.20 states/eV/atom
M_tot: 0.000 μB/atom



Most favorable first, least favorable last: #w, #x



#w
Material: AuCI
Method: DFT, PBE-GGA
State: optimized geometry

POSCAR file:
```
AuCI
1.0
3.846 0.000 0.909
0.000 11.274 0.000
-2.715 0.000 2.799
I C Au
2 2 2
Cartesian
0.566 8.049 1.854 I
1.923 2.413 0.455 I
0.566 10.156 1.854 C
1.923 4.520 0.455 C
0.000 5.028 0.000 Au
-1.357 10.664 1.399 Au
```

Values from the calculation:
N(E_F): 0.31 states/eV/atom
M_tot: 0.000 μB/atom



#x
Material: AuCI
Method: DFT, PBE-GGA
State: optimized geometry

POSCAR file:
```
AuCI
1.0
-4.101 -0.750 3.307
1.440 -5.214 -3.263
5.528 0.033 3.236
I C Au
2 2 2
Cartesian
3.406 -5.019 1.119 I
-0.539 -0.911 2.161 I
-0.761 -3.135 0.241 C
3.627 -2.795 3.039 C
1.832 -2.011 2.619 Au
1.034 -3.920 0.662 Au
```

Values from the calculation:
N(E_F): 0.10 states/eV/atom
M_tot: 0.000 μB/atom



Most favorable first, least favorable last: #x, #w



#w
Material: AuCI2
Method: DFT, PBE-GGA
State: optimized geometry

POSCAR file:
```
AuCI2
1.0
0.000 3.612 3.612
3.612 0.000 3.612
3.612 3.612 0.000
I C Au
2 1 1
Cartesian
1.806 1.806 1.806 I
5.418 5.418 5.418 I
0.000 0.000 0.000 C
3.612 3.612 3.612 Au
```

Values from the calculation:
N(E_F): 0.57 states/eV/atom
M_tot: 0.235 μB/atom



#x
Material: AuCI2
Method: DFT, PBE-GGA
State: optimized geometry

POSCAR file:
```
AuCI2
1.0
5.812 0.000 0.000
0.000 5.812 0.000
2.906 2.906 6.730
I C Au
4 2 2
Cartesian
3.990 1.453 1.683 I
1.821 4.359 1.683 I
4.359 4.727 5.048 I
7.265 6.896 5.048 I
2.906 2.906 0.000 C
2.906 5.812 3.365 C
0.000 0.000 0.000 Au
5.812 2.906 3.365 Au
```

Values from the calculation:
N(E_F): 0.37 states/eV/atom
M_tot: 0.000 μB/atom



Most favorable first, least favorable last: #x, #w



#w
Material: AuC2I
Method: DFT, PBE-GGA
State: optimized geometry

POSCAR file:
```
AuC2I
1.0
5.345 0.000 0.000
0.000 5.345 0.000
2.672 2.672 5.200
I C Au
2 4 2
Cartesian
2.672 2.672 0.000 I
2.672 5.345 2.600 I
4.326 1.336 1.300 C
1.019 4.009 1.300 C
4.009 3.691 3.900 C
6.681 6.999 3.900 C
0.000 0.000 0.000 Au
5.345 2.672 2.600 Au
```

Values from the calculation:
N(E_F): 0.39 states/eV/atom
M_tot: 0.000 μB/atom



#x
Material: AuC2I
Method: DFT, PBE-GGA
State: optimized geometry

POSCAR file:
```
AuC2I
1.0
-3.258 0.215 2.916
-4.005 1.219 -1.279
-3.246 -2.935 -0.124
I C Au
1 2 1
Cartesian
0.000 0.000 0.000 I
-2.627 -0.375 0.378 C
-7.882 -1.126 1.134 C
-5.255 -0.750 0.756 Au
```

Values from the calculation:
N(E_F): 0.76 states/eV/atom
M_tot: 0.000 μB/atom



Most favorable first, least favorable last: #w, #x



#w
Material: AuCI2O
Method: DFT, PBE-GGA
State: optimized geometry

POSCAR file:
```
AuCI2O
1.0
5.706 0.000 0.000
0.000 5.706 0.000
0.000 0.000 3.957
I C Au O
2 1 1 1
Cartesian
0.000 2.853 0.000 I
2.853 0.000 0.000 I
2.853 2.853 1.978 C
0.000 0.000 0.000 Au
0.000 0.000 1.978 O
```

Values from the calculation:
N(E_F): 0.71 states/eV/atom
M_tot: 0.362 μB/atom



#x
Material: AuCI2O
Method: DFT, PBE-GGA
State: optimized geometry

POSCAR file:
```
AuCI2O
1.0
6.233 0.000 0.000
0.000 6.233 0.000
0.000 0.000 2.952
I C Au O
2 1 1 1
Cartesian
0.000 3.117 0.000 I
3.117 0.000 0.000 I
0.000 0.000 0.000 C
3.117 3.117 1.476 Au
0.000 0.000 1.476 O
```

Values from the calculation:
N(E_F): 0.39 states/eV/atom
M_tot: 0.000 μB/atom



Most favorable first, least favorable last: #x, #w



#w
Material: InAu3C
Method: DFT, PBE-GGA
State: optimized geometry

POSCAR file:
```
InAu3C
1.0
-1.602 -4.036 -1.096
3.878 -0.994 -2.009
1.567 -1.668 3.850
C Au In
1 3 1
Cartesian
0.000 0.000 0.000 C
1.939 -0.497 -1.004 Au
0.784 -0.834 1.925 Au
-0.801 -2.018 -0.548 Au
1.921 -3.349 0.372 In
```

Values from the calculation:
N(E_F): 0.16 states/eV/atom
M_tot: 0.000 μB/atom



#x
Material: InAu3C
Method: DFT, PBE-GGA
State: optimized geometry

POSCAR file:
```
InAu3C
1.0
-0.662 -1.250 5.037
5.123 -0.969 0.432
0.829 4.987 1.346
C Au In
1 3 1
Cartesian
2.646 1.384 3.408 C
2.562 -0.484 0.216 Au
0.415 2.494 0.673 Au
-0.331 -0.625 2.519 Au
0.000 0.000 0.000 In
```

Values from the calculation:
N(E_F): 1.06 states/eV/atom
M_tot: 0.340 μB/atom



Most favorable first, least favorable last: #w, #x